## LaNd3 (GGA-PBEsol)

Data for a relaxed LaNd3 crystal.

Values from the calculation:
* space group: Pm-3m
* energy above the lowest structure with this stoichiometry: 0 meV per atom
* total magnetic moment: 0.00 μB per atom
* ρ: 7.13 g/cm³
* N(E_F): 6.5 states/eV per cell

Cell: 5.1072 5.1072 5.1072 Å, 90.00 90.00 90.00°
Sites, in units of the cell vectors:
Nd: 0.5000 0.0000 0.5000
Nd: 0.5000 0.5000 0.0000
Nd: 0.0000 0.5000 0.5000
La: 0.0000 0.0000 0.0000